Entry 1:
Below is a relaxed CePm2ReN5 crystal, with properties calculated at the PBE level.

Summary:
energy relative to the elements, uncorrected = -1.0228 eV per atom
final energy = -8.746 eV per atom
theoretical density = 8.66 g cm⁻³
calculated volume = 131.66 Å³/f.u.
space group = I4/mcm, No. 140

a b c (Å): 7.4760 7.4760 7.4760
angles (deg): 126.13 126.13 79.67
Closest atoms and distances in Å follow each position.
Sites, in units of the cell vectors:
Ce 0.2500 0.2500 0.0000  10 N 2.83-2.87
Ce 0.7500 0.7500 0.0000  10 N 2.83-2.87
Pm 0.1733 0.6733 0.8465  4 N 2.40-2.50
Pm 0.3267 0.1733 0.5000  4 N 2.40-2.50
Pm 0.6733 0.8267 0.5000  4 N 2.40-2.50
Pm 0.8267 0.3267 0.1535  4 N 2.40-2.50
Re 0.2500 0.7500 0.5000  4 N 1.85
Re 0.7500 0.2500 0.5000  4 N 1.85
N 0.0000 0.0000 0.0000  4 Pm 2.50
N 0.0017 0.2025 0.5000  1 Re 1.85
N 0.2025 0.7025 0.2007  1 Re 1.85
N 0.2975 0.4983 0.5000  1 Re 1.85
N 0.4983 0.9983 0.2007  1 Re 1.85
N 0.5000 0.5000 0.0000  4 Pm 2.50
N 0.5017 0.0017 0.7993  1 Re 1.85
N 0.7025 0.5017 0.5000  1 Re 1.85
N 0.7975 0.2975 0.7993  1 Re 1.85
N 0.9983 0.7975 0.5000  1 Re 1.85

=====

Entry 2:
Below is a relaxed CePm2RhN4 crystal, with properties calculated at the PBE level.

Summary:
energy relative to the elements, uncorrected = -0.9200 eV per atom
final energy = -7.931 eV per atom
theoretical density = 8.05 g cm⁻³
calculated volume = 121.58 Å³/f.u.
space group = Cmcm, No. 63

a b c (Å): 6.1784 6.1784 11.9051
angles (deg): 90.00 90.00 147.65
Closest atoms and distances in Å follow each position.
Sites, in units of the cell vectors:
Ce 0.1126 0.8874 0.7500  6 N 2.52-2.53
Ce 0.8874 0.1126 0.2500  6 N 2.52-2.53
Pm 0.3703 0.6297 0.5495  4 N 2.38-2.60
Pm 0.3703 0.6297 0.9505  4 N 2.38-2.60
Pm 0.6297 0.3703 0.0495  4 N 2.38-2.60
Pm 0.6297 0.3703 0.4505  4 N 2.38-2.60
Rh 0.1498 0.8502 0.2500  4 N 2.07-2.13
Rh 0.8502 0.1498 0.7500  4 N 2.07-2.13
N 0.0000 0.0000 0.0000  4 Pm 2.38
N 0.0000 0.0000 0.5000  4 Pm 2.38
N 0.2815 0.7185 0.1363  1 Rh 2.07
N 0.2815 0.7185 0.3637  1 Rh 2.07
N 0.4565 0.5435 0.7500  2 Rh 2.13
N 0.5435 0.4565 0.2500  2 Rh 2.13
N 0.7185 0.2815 0.6363  1 Rh 2.07
N 0.7185 0.2815 0.8637  1 Rh 2.07

=====

Entry 3:
Below is a relaxed Ce2PmRuN4 crystal, with properties calculated at the PBE level.

Summary:
energy relative to the elements, uncorrected = -1.0430 eV per atom
final energy = -8.442 eV per atom
theoretical density = 8.09 g cm⁻³
calculated volume = 119.56 Å³/f.u.
space group = Cmcm, No. 63

a b c (Å): 6.1961 6.1961 11.6808
angles (deg): 90.00 90.00 147.78
Closest atoms and distances in Å follow each position.
Sites, in units of the cell vectors:
Ce 0.1311 0.8689 0.5510  6 N 2.36-2.55
Ce 0.1311 0.8689 0.9490  6 N 2.36-2.55
Ce 0.8689 0.1311 0.0510  6 N 2.36-2.55
Ce 0.8689 0.1311 0.4490  6 N 2.36-2.55
Pm 0.3868 0.6132 0.7500  6 N 2.53-2.64
Pm 0.6132 0.3868 0.2500  6 N 2.53-2.64
Ru 0.3532 0.6468 0.2500  4 N 2.08-2.12
Ru 0.6468 0.3532 0.7500  4 N 2.08-2.12
N 0.0431 0.9569 0.7500  2 Ru 2.12
N 0.2288 0.7712 0.1249  1 Ru 2.08
N 0.2288 0.7712 0.3751  1 Ru 2.08
N 0.5000 0.5000 0.0000  4 Ce 2.40
N 0.5000 0.5000 0.5000  4 Ce 2.40
N 0.7712 0.2288 0.6249  1 Ru 2.08
N 0.7712 0.2288 0.8751  1 Ru 2.08
N 0.9569 0.0431 0.2500  2 Ru 2.12

=====

Entry 4:
Below is a relaxed CePmS2N crystal, with properties calculated at the PBE level.

Summary:
energy relative to the elements, uncorrected = -1.7985 eV per atom
final energy = -7.251 eV per atom
theoretical density = 5.44 g cm⁻³
calculated volume = 110.89 Å³/f.u.
space group = P4/nmm, No. 129

a b c (Å): 3.9516 3.9516 14.2032
angles (deg): 90.00 90.00 90.00
Closest atoms and distances in Å follow each position.
Sites, in units of the cell vectors:
Ce 0.2500 0.2500 0.0819  4 N 2.29
Ce 0.7500 0.7500 0.9181  4 N 2.29
Pm 0.2500 0.2500 0.6267  5 S 2.59-2.84
Pm 0.7500 0.7500 0.3733  5 S 2.59-2.84
S 0.2500 0.2500 0.4086  5 Pm 2.84-3.10
S 0.2500 0.2500 0.8094  1 Pm 2.59
S 0.7500 0.7500 0.1906  1 Pm 2.59
S 0.7500 0.7500 0.5914  5 Pm 2.84-3.10
N 0.2500 0.7500 0.0000  4 Ce 2.29
N 0.7500 0.2500 0.0000  4 Ce 2.29